DFT (PBE) results for a geometry-optimized Pr2CdBi structure.

a b c (Å): 4.1519 4.1519 7.0946
angles (deg): 90.00 90.00 90.00
Last column: nearest neighbours and their distance in Å.
Positions (direct):
Pr1 0.0000 0.0000 0.7513  4 Bi 3.43, 4 Cd 3.43, 2 Pr 3.53-3.57
Pr2 0.0000 0.0000 0.2487  4 Bi 3.43, 4 Cd 3.43, 2 Pr 3.53-3.57
Bi1 0.5000 0.5000 0.0000  8 Pr 3.43, 2 Cd 3.55
Cd1 0.5000 0.5000 0.5000  8 Pr 3.43, 2 Bi 3.55

Summary:
volume	30.6	A^3/atom
space group	No. 123
total magnetic moment	0.64	μB/cell
offset from the most stable computed form	0.000	eV per atom
crystal system	tetragonal